VASP calculation (PBE) on an optimized crystal structure of Ce2ZrPb.

Output
- ΔE to the lowest computed polymorph: 133.4 meV per atom
- Electronic total energy: -6.107 eV/atom
- Theoretical density: 8.6 Mg/m³

Cell: 4.178 4.178 6.437 Å, 90.00 90.00 90.00°
Each line ends with the local moment (μB).
Positions (direct):
Pb  0.500  0.500  0.000  -0.03
Zr  0.500  0.500  0.500  0.69
Ce  0.000  0.000  0.770  0.82
Ce  0.000  0.000  0.230  0.82

VASP calculation (PBE) on an optimized crystal structure of La3Sm2Th3.

Output
- Electronic total energy: -5.745 eV/atom
- Theoretical density: 8.7 Mg/m³

Cell: 5.108 5.174 10.257 Å, 90.00 90.00 90.00°
Positions (direct):
La  0.000  0.500  0.500
La  0.500  0.000  0.000
La  0.500  0.000  0.500
Sm  0.000  0.000  0.244
Sm  0.000  0.000  0.756
Th  0.500  0.500  0.245
Th  0.500  0.500  0.755
Th  0.000  0.500  0.000

VASP calculation (PBE) on an optimized crystal structure of SrLaScIr2.

Output
- Electronic total energy: -5.716 eV/atom
- Theoretical density: 8.7 Mg/m³

Cell: 4.928 5.139 4.928 Å, 90.00 90.00 90.00°
Positions (direct):
Sc  0.000  0.000  0.000
Sr  0.000  0.500  0.000
Ir  0.000  0.000  0.500
Ir  0.500  0.000  0.000
La  0.500  0.500  0.500

VASP calculation (PBE) on an optimized crystal structure of SrHf2Si.

Output
- Electronic total energy: -6.149 eV/atom
- ΔE_f (raw): 0.60 eV per atom
- Theoretical density: 6.2 Mg/m³

Cell: 5.129 5.129 10.344 Å, 75.65 75.65 90.00°
Positions (direct):
Sr  0.000  0.000  0.000
Sr  0.750  0.250  0.500
Si  0.500  0.500  0.000
Si  0.250  0.750  0.500
Hf  0.348  0.125  0.250
Hf  0.402  0.625  0.250
Hf  0.375  0.652  0.750
Hf  0.875  0.598  0.750

VASP calculation (PBE) on an optimized crystal structure of PBr2O.

Output
- ΔE to the lowest computed polymorph: 0.0 meV per atom
- Electronic total energy: -2.785 eV/atom
- ΔE_f (raw): 0.64 eV per atom
- Theoretical density: 3.9 Mg/m³

Cell: 7.863 7.863 7.863 Å, 26.81 26.81 26.81°
Positions (direct):
P  0.500  0.500  0.500
O  0.000  0.000  0.000
Br  0.912  0.912  0.912
Br  0.088  0.088  0.088

VASP calculation (PBE) on an optimized crystal structure of Al2PtBr.

Output
- ΔE to the lowest computed polymorph: 441.7 meV per atom
- Electronic total energy: -3.980 eV/atom
- ΔE_f (raw): -0.18 eV per atom
- Theoretical density: 6.9 Mg/m³

Cell: 3.103 3.102 8.189 Å, 90.00 90.00 90.04°
Positions (direct):
Br  0.000  0.000  0.449
Pt  0.500  0.500  0.830
Al  0.000  0.000  0.988
Al  0.500  0.500  0.233

VASP calculation (PBE) on an optimized crystal structure of Rb3Tl2Te3.

Output
- ΔE to the lowest computed polymorph: 0.0 meV per atom
- Electronic total energy: -2.826 eV/atom
- ΔE_f (raw): -0.69 eV per atom
- Theoretical density: 4.7 Mg/m³

Cell: 8.473 10.565 16.677 Å, 90.00 90.00 90.00°
Positions (direct):
Rb  0.141  0.425  0.398
Rb  0.641  0.075  0.602
Rb  0.859  0.575  0.898
Rb  0.359  0.925  0.102
Rb  0.859  0.575  0.602
Rb  0.359  0.925  0.398
Rb  0.141  0.425  0.102
Rb  0.641  0.075  0.898
Rb  0.547  0.299  0.250
Rb  0.047  0.201  0.750
Rb  0.453  0.701  0.750
Rb  0.953  0.799  0.250
Tl  0.943  0.111  0.416
Tl  0.443  0.389  0.584
Tl  0.057  0.889  0.916
Tl  0.557  0.611  0.084
Tl  0.057  0.889  0.584
Tl  0.557  0.611  0.416
Tl  0.943  0.111  0.084
Tl  0.443  0.389  0.916
Te  0.136  0.131  0.250
Te  0.636  0.369  0.750
Te  0.864  0.869  0.750
Te  0.364  0.631  0.250
Te  0.721  0.343  0.446
Te  0.221  0.157  0.554
Te  0.279  0.657  0.946
Te  0.779  0.843  0.054
Te  0.279  0.657  0.554
Te  0.779  0.843  0.446
Te  0.721  0.343  0.054
Te  0.221  0.157  0.946

VASP calculation (PBE) on an optimized crystal structure of Gd2SiN.

Output
- Electronic total energy: -11.464 eV/atom
- ΔE_f (raw): -0.99 eV per atom
- Theoretical density: 7.5 Mg/m³

Cell: 3.590 3.590 7.342 Å, 75.85 75.85 60.00°
Each line ends with the local moment (μB).
Positions (direct):
Si  0.500  0.500  0.500  -0.04
Gd  0.732  0.732  0.803  7.01
Gd  0.268  0.268  0.197  7.01
N  0.000  0.000  0.000  -0.09

VASP calculation (PBE) on an optimized crystal structure of Y6Ge2C.

Output
- ΔE to the lowest computed polymorph: 196.6 meV per atom
- Electronic total energy: -6.724 eV/atom
- Theoretical density: 4.5 Mg/m³

Cell: 6.446 6.446 12.294 Å, 90.00 90.00 90.00°
Each line ends with the local moment (μB).
Positions (direct):
Y  0.309  0.309  0.356  0.18
Y  0.691  0.691  0.356  0.18
Y  0.191  0.809  0.856  0.18
Y  0.809  0.191  0.856  0.18
Y  0.191  0.809  0.144  0.18
Y  0.809  0.191  0.144  0.18
Y  0.309  0.309  0.644  0.18
Y  0.691  0.691  0.644  0.18
Y  0.279  0.279  0.000  0.16
Y  0.721  0.721  0.000  0.16
Y  0.221  0.779  0.500  0.16
Y  0.779  0.221  0.500  0.16
Ge  0.000  0.000  0.329  -0.03
Ge  0.500  0.500  0.829  -0.03
Ge  0.500  0.500  0.171  -0.03
Ge  0.000  0.000  0.671  -0.03
C  0.000  0.000  0.000  -0.03
C  0.500  0.500  0.500  -0.03

VASP calculation (PBE) on an optimized crystal structure of Cs2Mg2H7.

Output
- Electronic total energy: -2.594 eV/atom
- Theoretical density: 2.8 Mg/m³

Cell: 3.933 7.159 7.159 Å, 108.45 90.00 90.00°
Positions (direct):
Cs  0.500  0.244  0.756
Cs  0.500  0.756  0.244
Mg  0.000  0.776  0.776
Mg  0.000  0.224  0.224
H  0.000  0.573  0.886
H  0.000  0.114  0.427
H  0.000  0.427  0.114
H  0.000  0.886  0.573
H  0.500  0.274  0.274
H  0.000  0.000  0.000
H  0.500  0.726  0.726

VASP calculation (PBE) on an optimized crystal structure of La2PrSmMg.

Output
- Electronic total energy: -4.180 eV/atom
- Theoretical density: 5.9 Mg/m³

Cell: 5.797 6.308 9.662 Å, 71.20 90.00 90.00°
Positions (direct):
La  0.750  0.751  0.793
La  0.250  0.249  0.207
La  0.250  0.010  0.614
La  0.750  0.990  0.386
Pr  0.750  0.362  0.607
Pr  0.250  0.638  0.393
Sm  0.250  0.823  0.004
Sm  0.750  0.177  0.996
Mg  0.750  0.586  0.191
Mg  0.250  0.414  0.809

VASP calculation (PBE) on an optimized crystal structure of Pm2ScBePt6.

Output
- Electronic total energy: -6.434 eV/atom
- Theoretical density: 12.8 Mg/m³

Cell: 5.811 7.505 7.503 Å, 45.57 67.21 90.00°
Positions (direct):
Pm  0.722  0.278  0.556
Pm  0.278  0.722  0.444
Sc  0.000  0.000  0.000
Be  0.500  0.500  0.000
Pt  0.262  0.221  0.475
Pt  0.778  0.737  0.960
Pt  0.262  0.737  0.959
Pt  0.738  0.263  0.041
Pt  0.222  0.263  0.040
Pt  0.738  0.779  0.525

VASP calculation (PBE) on an optimized crystal structure of CdHgTe2.

Output
- ΔE to the lowest computed polymorph: 373.6 meV per atom
- Electronic total energy: -1.813 eV/atom
- ΔE_f (raw): 0.06 eV per atom
- Theoretical density: 7.8 Mg/m³

Cell: 3.382 3.382 10.988 Å, 90.00 90.00 105.85°
Positions (direct):
Te  0.000  0.000  0.045
Te  0.000  0.000  0.455
Hg  0.500  0.500  0.750
Cd  0.500  0.500  0.250

VASP calculation (PBE) on an optimized crystal structure of PbI.

Output
- Electronic total energy: -2.451 eV/atom
- ΔE_f (raw): 0.18 eV per atom
- Theoretical density: 4.0 Mg/m³

Cell: 9.432 9.432 9.432 Å, 90.00 90.00 90.00°
Each line ends with the local moment (μB).
Positions (direct):
Pb  0.250  0.500  0.000  0.35
Pb  0.750  0.500  0.000  0.35
Pb  0.500  0.000  0.250  0.35
Pb  0.500  0.000  0.750  0.35
Pb  0.000  0.250  0.500  0.35
Pb  0.000  0.750  0.500  0.35
I  0.250  0.000  0.500  0.02
I  0.750  0.000  0.500  0.02
I  0.000  0.500  0.250  0.02
I  0.000  0.500  0.750  0.02
I  0.500  0.250  0.000  0.02
I  0.500  0.750  0.000  0.02

VASP calculation (PBE) on an optimized crystal structure of TaZn2SiN.

Output
- Electronic total energy: -5.395 eV/atom
- ΔE_f (raw): 0.24 eV per atom
- Theoretical density: 8.2 Mg/m³

Cell: 4.125 4.199 4.125 Å, 90.00 90.00 90.00°
Positions (direct):
Zn  0.000  0.000  0.500
Zn  0.500  0.000  0.000
N  0.000  0.000  0.000
Si  0.500  0.500  0.500
Ta  0.000  0.500  0.000

VASP calculation (PBE) on an optimized crystal structure of Pr2ZnSi3Ni4.

Output
- Electronic total energy: -5.705 eV/atom
- ΔE_f (raw): -0.68 eV per atom
- Theoretical density: 6.8 Mg/m³

Cell: 4.105 4.105 9.608 Å, 90.00 90.00 90.00°
Positions (direct):
Pr  0.500  0.000  0.248
Pr  0.000  0.500  0.752
Zn  0.500  0.500  0.500
Si  0.000  0.000  0.500
Si  0.500  0.000  0.877
Si  0.000  0.500  0.123
Ni  0.500  0.500  0.000
Ni  0.000  0.000  0.000
Ni  0.500  0.000  0.632
Ni  0.000  0.500  0.368

VASP calculation (PBE) on an optimized crystal structure of AcHoIrPd.

Output
- Electronic total energy: -6.370 eV/atom
- Theoretical density: 12.2 Mg/m³

Cell: 5.103 5.103 5.103 Å, 60.00 60.00 60.00°
Positions (direct):
Ac  0.750  0.750  0.750
Ir  0.000  0.000  0.000
Ho  0.250  0.250  0.250
Pd  0.500  0.500  0.500

VASP calculation (PBE) on an optimized crystal structure of TlP2Au.

Output
- ΔE to the lowest computed polymorph: 247.6 meV per atom
- Electronic total energy: -3.898 eV/atom
- Theoretical density: 9.0 Mg/m³

Cell: 6.890 6.890 6.890 Å, 32.79 32.79 32.79°
Positions (direct):
Au  0.750  0.750  0.750
P  0.023  0.023  0.023
P  0.477  0.477  0.477
Tl  0.250  0.250  0.250

VASP calculation (PBE) on an optimized crystal structure of InCu2Br.

Output
- ΔE to the lowest computed polymorph: 199.4 meV per atom
- Electronic total energy: -2.950 eV/atom
- ΔE_f (raw): 0.20 eV per atom
- Theoretical density: 6.4 Mg/m³

Cell: 3.508 3.508 7.984 Å, 90.00 90.00 122.34°
Positions (direct):
Br  0.500  0.500  0.750
Cu  0.000  0.000  0.995
Cu  0.000  0.000  0.505
In  0.500  0.500  0.250

VASP calculation (PBE) on an optimized crystal structure of Tm3Ga9Au2.

Output
- Electronic total energy: -3.866 eV/atom
- Theoretical density: 9.6 Mg/m³

Cell: 4.226 8.259 8.259 Å, 76.83 75.18 75.18°
Positions (direct):
Tm  0.000  0.000  0.000
Tm  0.680  0.320  0.320
Tm  0.320  0.680  0.680
Ga  0.000  0.500  0.500
Ga  0.664  0.957  0.714
Ga  0.336  0.043  0.286
Ga  0.664  0.714  0.957
Ga  0.336  0.286  0.043
Ga  0.860  0.865  0.416
Ga  0.140  0.135  0.584
Ga  0.860  0.416  0.865
Ga  0.140  0.584  0.135
Au  0.500  0.287  0.713
Au  0.500  0.713  0.287

VASP calculation (PBE) on an optimized crystal structure of Cs3Pm2TmTe6.

Output
- Electronic total energy: -4.341 eV/atom
- ΔE_f (raw): -1.39 eV per atom
- Theoretical density: 5.5 Mg/m³

Cell: 7.976 7.976 9.319 Å, 98.21 98.21 120.00°
Positions (direct):
Cs  0.169  0.831  0.500
Cs  0.831  0.169  0.500
Cs  0.500  0.500  0.500
Pm  0.334  0.666  0.000
Pm  0.666  0.334  0.000
Tm  0.000  0.000  0.000
Te  0.936  0.612  0.809
Te  0.739  0.739  0.192
Te  0.064  0.388  0.191
Te  0.612  0.936  0.809
Te  0.261  0.261  0.808
Te  0.388  0.064  0.191

VASP calculation (PBE) on an optimized crystal structure of LiNiRu.

Output
- ΔE to the lowest computed polymorph: 8.5 meV per atom
- Electronic total energy: -5.493 eV/atom
- Theoretical density: 7.1 Mg/m³

Cell: 2.623 2.623 6.550 Å, 90.00 90.00 120.00°
Each line ends with the local moment (μB).
Positions (direct):
Li  0.000  0.000  0.009  0.00
Ni  0.667  0.333  0.340  0.32
Ru  0.333  0.667  0.651  0.10

VASP calculation (PBE) on an optimized crystal structure of La2Tb4Ce.

Output
- Electronic total energy: -4.853 eV/atom
- Theoretical density: 7.5 Mg/m³

Cell: 3.620 3.624 20.583 Å, 95.04 90.00 119.96°
Each line ends with the local moment (μB).
Positions (direct):
Tb  0.904  0.807  0.946  -0.05
Tb  0.431  0.861  0.528  0.03
Tb  0.000  0.000  0.241  0.01
Tb  0.524  0.049  0.808  0.01
Ce  0.807  0.614  0.667  0.81
La  0.621  0.243  0.094  -0.01
La  0.714  0.428  0.384  0.00

VASP calculation (PBE) on an optimized crystal structure of RhWCl.

Output
- ΔE to the lowest computed polymorph: 46.3 meV per atom
- Electronic total energy: -7.221 eV/atom
- ΔE_f (raw): 0.16 eV per atom
- Theoretical density: 9.6 Mg/m³

Cell: 6.952 6.952 6.952 Å, 155.90 155.90 34.35°
Positions (direct):
Cl  0.042  0.042  0.000
Rh  0.290  0.290  0.000
W  0.668  0.668  0.000